No. 1
VASP calculation (GGA-PBE) on a relaxed structure of Hf2Cr3Fe.

a b c (Å): 5.032 5.032 5.032
angles (deg): 58.58 58.58 58.58
Element x y z (fractional)
Hf  0.125  0.125  0.125
Hf  0.875  0.875  0.875
Cr  0.000  0.500  0.500
Cr  0.500  0.000  0.500
Cr  0.500  0.500  0.000
Fe  0.500  0.500  0.500

Values from the calculation:
Space-group type: R-3m (166)


No. 2
VASP calculation (GGA-PBE) on a relaxed structure of Ag3Mo.

a b c (Å): 2.839 2.839 9.852
angles (deg): 90.00 90.00 120.00
Element x y z (fractional)
Ag  0.000  0.000  0.000
Ag  0.667  0.333  0.253
Ag  0.667  0.333  0.747
Mo  0.000  0.000  0.500

Values from the calculation:
Space-group type: P-6m2 (187)


| no. | total energy (eV/atom) |
| --- | --- |
| 1 | -9.69 |
| 2 | -4.52 |